! TbMnV2O8, optimized geometry, DFT PBE+U; values from VASP
! space-group type: P-3m1
! energy: -7.56 eV per atom
! crystal system: trigonal
&SYSTEM
  ibrav = 0, nat = 12, ntyp = 4
/
ATOMIC_SPECIES
Tb 158.93 Tb.upf
Mn 54.94 Mn.upf
V 50.94 V.upf
O 16.00 O.upf
CELL_PARAMETERS angstrom
5.7712 0.0000 0.0000
-2.8856 4.9980 0.0000
0.0000 0.0000 5.7584
ATOMIC_POSITIONS angstrom
Tb 0.0000 0.0000 0.0000
Mn 0.0000 0.0000 2.8792
V 0.0000 3.3320 3.6177
V 2.8856 1.6660 2.1408
O 0.0000 1.5906 4.1128
O -1.5081 4.2027 4.1128
O 1.3775 0.7953 1.6456
O 0.0000 3.3320 1.9992
O 2.8856 1.6660 3.7592
O 1.5081 4.2027 4.1128
O 4.3937 0.7953 1.6456
O 2.8856 3.4074 1.6456